Zr3HPb | Alexandria via LeMat-Bulk | GGA-PBE | relaxed; magnetic moment = 0.0 μB/f.u.; VASP energy = -34.1 eV/f.u.; crystal system = monoclinic; distance to the lowest polymorph of the same formula = 23 meV/atom; space-group type = Cm
1.0
5.4305 -3.2340 0.0000
5.4305 3.2340 0.0000
-1.2304 0.0000 5.4101
Zr H Pb
6 2 2
direct
0.0000 0.0000 0.0000 Zr
0.0103 0.5027 0.9283 Zr
0.2581 0.7611 0.5277 Zr
0.5027 0.0103 0.9283 Zr
0.7611 0.2581 0.5277 Zr
0.7640 0.7640 0.4489 Zr
0.6460 0.6460 0.6869 H
0.9272 0.9272 0.3179 H
0.2492 0.2492 0.4282 Pb
0.5120 0.5120 0.0348 Pb